[1]
Density functional theory data (PBE) for crystalline RbTl2S2 at its relaxed geometry.

## Properties
Offset from the most stable computed form, eV/atom: 0.067
E_form (uncorrected), meV per atom: -462

Geometry as POSCAR:
```
RbTl2S2
1.0
5.4119 0.0000 0.0000
0.0000 5.4119 0.0000
2.7059 2.7059 5.1655
Tl S Rb
2 2 1
Direct
0.3482 0.3482 0.3036
0.6518 0.6518 0.6964
0.7500 0.2500 0.5000
0.2500 0.7500 0.5000
0.0000 0.0000 0.0000
```

[2]
Density functional theory data (PBE) for crystalline RbTl2S at its relaxed geometry.

## Properties
Offset from the most stable computed form, eV/atom: 0.247
E_form (uncorrected), meV per atom: -111

Geometry as POSCAR:
```
RbTl2S
1.0
0.0000 3.9903 3.9903
3.9903 0.0000 3.9903
3.9903 3.9903 0.0000
S Tl Rb
1 2 1
Direct
0.0000 0.0000 0.0000
0.2500 0.2500 0.2500
0.7500 0.7500 0.7500
0.5000 0.5000 0.5000
```

[3]
Density functional theory data (PBE) for crystalline RbTlS at its relaxed geometry.

## Properties
Offset from the most stable computed form, eV/atom: 0.262
E_form (uncorrected), meV per atom: -457

Geometry as POSCAR:
```
RbTlS
1.0
4.9361 0.0000 0.0000
0.0000 4.9361 0.0000
-2.4680 -2.4680 4.6893
Rb S Tl
1 1 1
Direct
0.6137 0.6137 0.2275
0.9791 0.9791 0.9582
0.2572 0.2572 0.5143
```

Among the records above, which one has the lowest offset from the most stable computed form? RbTl2S2

Please write out number 3 again, unchanged.
Density functional theory data (PBE) for crystalline RbTlS at its relaxed geometry.

## Properties
Offset from the most stable computed form, eV/atom: 0.262
E_form (uncorrected), meV per atom: -457

Geometry as POSCAR:
```
RbTlS
1.0
4.9361 0.0000 0.0000
0.0000 4.9361 0.0000
-2.4680 -2.4680 4.6893
Rb S Tl
1 1 1
Direct
0.6137 0.6137 0.2275
0.9791 0.9791 0.9582
0.2572 0.2572 0.5143
```

What is the offset from the most stable computed form in the third record? 0.262 eV/atom